Entry 1:
18
Lattice="7.016 0.000 0.000 0.000 4.244 0.000 -0.221 0.000 11.925" Properties=species:S:1:pos:R:3 comment="CeAlRh (PBE-GGA, optimized geometry)" space_group="P2_1/m, No. 11" ef_ev_per_atom=-0.847 final_energy_ev_per_atom=-6.523 magnetic_moment_mub_per_cell=1.38 mass_density_g_cm3=7.58 pbc="T T T"
Ce 0.186 1.061 3.441
Ce 2.223 3.183 10.966
Ce 3.116 3.183 7.461
Ce 3.679 1.061 4.464
Ce 4.572 1.061 0.959
Ce 6.609 3.183 8.484
Al -0.189 1.061 10.950
Al 0.823 1.061 6.463
Al 2.499 3.183 2.400
Al 4.295 1.061 9.525
Al 5.971 3.183 5.462
Al 6.984 3.183 0.975
Rh 1.568 1.061 1.152
Rh 1.582 3.183 5.084
Rh 1.647 1.061 9.017
Rh 5.148 3.183 2.908
Rh 5.213 1.061 6.840
Rh 5.227 3.183 10.773

***

Entry 2:
12
Lattice="4.262 -6.258 0.000 4.262 6.258 0.000 -2.291 0.000 5.374" Properties=species:S:1:pos:R:3 comment="Ce4AlRh (PBE-GGA, optimized geometry)" space_group="C2/c, No. 15" ef_ev_per_atom=-0.329 final_energy_ev_per_atom=-6.134 magnetic_moment_mub_per_cell=0.70 mass_density_g_cm3=8.00 pbc="T T T"
Ce 1.029 3.778 4.888
Ce 0.916 1.273 3.595
Ce 4.058 3.778 3.173
Ce 2.062 -1.273 0.908
Ce 4.171 1.273 4.465
Ce 2.175 -3.778 2.201
Ce 5.316 -1.273 1.779
Ce 5.203 -3.778 0.486
Al 3.689 1.339 1.343
Al 2.543 -1.339 4.030
Rh 2.543 6.250 4.030
Rh 3.689 -6.250 1.343

***

Entry 3:
16
Lattice="7.101 0.000 0.000 0.000 10.742 0.000 -3.357 0.000 5.145" Properties=species:S:1:pos:R:3 comment="Ce6AlRh (PBE-GGA, optimized geometry)" space_group="C2/m, No. 12" ef_ev_per_atom=-0.069 final_energy_ev_per_atom=-5.906 magnetic_moment_mub_per_cell=0.00 mass_density_g_cm3=8.21 pbc="T T T"
Ce 0.597 2.553 1.272
Ce 0.597 8.189 1.272
Ce -1.003 0.000 3.989
Ce 1.197 5.371 1.155
Ce -0.403 2.818 3.872
Ce -0.403 7.924 3.872
Ce 4.147 2.818 1.272
Ce 4.147 7.924 1.272
Ce 2.547 5.371 3.989
Ce 4.747 0.000 1.155
Ce 3.147 2.553 3.872
Ce 3.147 8.189 3.872
Al -1.678 5.371 2.572
Al 1.872 0.000 2.572
Rh 0.000 0.000 0.000
Rh 3.550 5.371 0.000

***

Entry 4:
26
Lattice="4.528 -5.160 0.000 4.528 5.160 0.000 0.000 0.000 9.205" Properties=species:S:1:pos:R:3 comment="CeAl10Rh2 (PBE-GGA, optimized geometry)" space_group="Cmcm, No. 63" ef_ev_per_atom=-0.561 final_energy_ev_per_atom=-5.027 magnetic_moment_mub_per_cell=1.67 mass_density_g_cm3=4.75 pbc="T T T"
Ce 4.528 3.912 6.904
Ce 4.528 -3.912 2.301
Al 2.450 1.363 6.904
Al 4.528 3.535 0.941
Al 4.528 3.535 3.661
Al 1.998 0.000 0.000
Al 1.998 0.000 4.602
Al 3.193 1.306 2.301
Al 4.528 1.248 5.105
Al 4.528 1.248 8.702
Al 2.450 -1.363 2.301
Al 3.193 -1.306 6.904
Al 5.862 1.306 2.301
Al 6.605 1.363 6.904
Al 4.528 -1.248 0.503
Al 4.528 -1.248 4.100
Al 5.862 -1.306 6.904
Al 7.058 0.000 0.000
Al 7.058 0.000 4.602
Al 4.528 -3.535 5.543
Al 4.528 -3.535 8.264
Al 6.605 -1.363 2.301
Rh 2.264 2.580 0.000
Rh 2.264 2.580 4.602
Rh 2.264 -2.580 0.000
Rh 2.264 -2.580 4.602